Entry from the Alexandria database: crystalline Pm2Tm2Mg at its relaxed geometry (GGA-PBE).

Computed properties:
Space group ... I4/mmm
Fermi-level density of states ... 1.354 states/eV per atom
Excess energy over the best structure of this formula in the dataset ... 0 meV/atom
Uncorrected energy ... -4.02 eV per atom
E_form ... -0.017 eV per atom

Cell and atoms, written as POSCAR:
```
Pm2Tm2Mg
1.0
-1.7868 1.7868 11.9677
1.7868 -1.7868 11.9677
1.7868 1.7868 -11.9677
Pm Tm Mg
2 2 1
Direct
0.0954 0.0954 0.0000
0.9046 0.9046 0.0000
0.3008 0.3008 0.0000
0.6992 0.6992 0.0000
0.5000 0.5000 0.0000
```

***

Entry from the Alexandria database: crystalline Sc2TaRh at its relaxed geometry (GGA-PBE).

Computed properties:
Space group ... Pmm2
Fermi-level density of states ... 1.011 states/eV per atom
Excess energy over the best structure of this formula in the dataset ... 247 meV/atom
Uncorrected energy ... -8.08 eV per atom
E_form ... -0.117 eV per atom

Cell and atoms, written as POSCAR:
```
Sc2TaRh
1.0
3.0616 0.0000 0.0000
0.0000 4.3313 0.0000
0.0000 0.0000 5.6462
Sc Ta Rh
2 1 1
Direct
0.0000 0.0000 0.0000
0.5000 0.5000 0.2759
0.0000 0.0000 0.5268
0.5000 0.5000 0.7513
```